Below is an optimized crystal structure of LiLu2Ga, with properties calculated at the GGA-PBE level.

Computed properties:
- E_tot (Ry per atom) = -0.2571

Cell and atoms, written as POSCAR:
```
LiLu2Ga
1.0
0.000 3.562 3.562
3.562 0.000 3.562
3.562 3.562 0.000
Li Ga Lu
1 1 2
Direct
0.250 0.250 0.250
0.500 0.500 0.500
0.000 0.000 0.000
0.750 0.750 0.750
```